No. 1
Below is Th3Al3Au after structural relaxation, with properties calculated at the PBE level.

The value obtained for the calculated total energy is -5.712 eV per atom. The calculation puts the density of states at the Fermi level at 15.378 states/eV per cell. The value obtained for the magnetization is 0.0 μB/f.u. The value obtained for the formation energy is -0.46 eV per atom. The volume comes out at 174.4 Å³/f.u.

Unit cell a=6.0116 b=6.0116 c=14.7283 alpha=108.52 beta=108.52 gamma=44.24
With the nearest neighbours (Å) after each atom.
Positions (direct):
Th: 0.0261 0.0261 0.3776  6 Al 3.16-3.36, 4 Au 3.23-3.48
Th: 0.1044 0.1044 0.9206  7 Al 3.18-3.29
Th: 0.2456 0.2456 0.2239  6 Al 3.17-3.27, 2 Au 3.36
Th: 0.7544 0.7544 0.7761  6 Al 3.17-3.27, 2 Au 3.36
Th: 0.8956 0.8956 0.0795  7 Al 3.18-3.29
Th: 0.9739 0.9739 0.6224  6 Al 3.16-3.36, 4 Au 3.23-3.48
Al: 0.3654 0.3654 0.4599  3 Au 2.65-2.83, 1 Al 2.82
Al: 0.3925 0.3925 0.9260  2 Al 2.63-2.68
Al: 0.4622 0.4622 0.7690  1 Au 2.67, 1 Al 2.68
Al: 0.5378 0.5378 0.2310  1 Au 2.67, 1 Al 2.68
Al: 0.6075 0.6075 0.0740  2 Al 2.63-2.68
Al: 0.6346 0.6346 0.5401  3 Au 2.65-2.83, 1 Al 2.82
Au: 0.2567 0.2567 0.6080  4 Al 2.65-2.83
Au: 0.7433 0.7433 0.3920  4 Al 2.65-2.83

=====

No. 2
Below is Th2AlAu3 after structural relaxation, with properties calculated at the PBE level.

The value obtained for the calculated total energy is -5.420 eV per atom. The calculation puts the density of states at the Fermi level at 8.766 states/eV per cell. As for the excess energy over the best structure of this formula in the dataset: 0.000 eV/atom. The value obtained for the magnetization is 0.0 μB/f.u. The value obtained for the formation energy is -0.68 eV per atom. The volume comes out at 136.7 Å³/f.u.

Unit cell a=9.5060 b=8.9456 c=5.8975 alpha=76.61 beta=66.27 gamma=37.12
With the nearest neighbours (Å) after each atom.
Positions (direct):
Th: 0.2343 0.7657 0.7657  10 Au 3.24-3.31, 1 Th 3.28, 2 Al 3.31
Th: 0.2500 0.2500 0.2500  8 Au 3.22, 4 Al 3.25, 2 Th 3.50
Th: 0.7500 0.7500 0.7500  8 Au 3.22, 4 Al 3.25, 2 Th 3.50
Th: 0.7657 0.2343 0.2343  10 Au 3.24-3.31, 1 Th 3.28, 2 Al 3.31
Al: 0.3335 0.3335 0.6665  3 Au 2.61-2.66
Al: 0.6665 0.6665 0.3335  3 Au 2.61-2.66
Au: 0.1720 0.1720 0.8280  1 Al 2.66, 2 Au 2.87
Au: 0.1773 0.6506 0.3494  1 Al 2.61, 2 Au 2.83-2.87
Au: 0.3494 0.8227 0.1773  1 Al 2.61, 2 Au 2.83-2.87
Au: 0.6506 0.1773 0.8227  1 Al 2.61, 2 Au 2.83-2.87
Au: 0.8227 0.3494 0.6506  1 Al 2.61, 2 Au 2.83-2.87
Au: 0.8280 0.8280 0.1720  1 Al 2.66, 2 Au 2.87